This record from the Alexandria database describes crystalline TaCoAg2 at its relaxed geometry. The functional is GGA-PBE.

Lattice parameters (Å, degrees): 2.962 2.962 7.430 90.00 90.00 90.00
Space group P4mm (No. 99)
Asymmetric unit:
Ta1 0.000 0.000 0.000
Co1 0.500 0.500 0.817
Ag1 0.000 0.000 0.570
Ag2 0.500 0.500 0.294

## Properties
- Excess energy over the best structure of this formula in the dataset: 0 meV per atom


This record from the Alexandria database describes crystalline Ac3PrPd at its relaxed geometry. The functional is GGA-PBE.

Lattice parameters (Å, degrees): 5.959 5.959 5.959 90.00 90.00 90.00
Space group Pm-3m (No. 221)
Asymmetric unit:
Ac1 0.000 0.000 0.500
Pr1 0.500 0.500 0.500
Pd1 0.000 0.000 0.000


Number 1: energy relative to the elements 155 meV/atom. Number 2: energy relative to the elements -135 meV/atom.